# ZrMn2Ir | the Alexandria database | PBE | relaxed
data_ZrMn2Ir
_cell_length_a 3.9435
_cell_length_b 3.9435
_cell_length_c 4.0823
_cell_angle_alpha 90.00
_cell_angle_beta 90.00
_cell_angle_gamma 90.00
_symmetry_space_group_name_H-M 'P 4/m m m'
_symmetry_Int_Tables_number 123
_symmetry_space_group_name_Hall '-P 4 2'
loop_
_atom_site_label
_atom_site_type_symbol
_atom_site_fract_x
_atom_site_fract_y
_atom_site_fract_z
Zr1 Zr 0.0000 0.0000 0.0000
Mn1 Mn 0.0000 0.5000 0.5000
Ir1 Ir 0.5000 0.5000 0.0000
# N(E_F)   1.03 states/eV/atom
# ΔE_f   -0.213 eV/atom

# ZrMn2Ir | the Alexandria database | PBE | relaxed
data_ZrMn2Ir
_cell_length_a 2.8354
_cell_length_b 2.8354
_cell_length_c 26.7104
_cell_angle_alpha 90.00
_cell_angle_beta 90.00
_cell_angle_gamma 120.00
_symmetry_space_group_name_H-M 'R 3 m'
_symmetry_Int_Tables_number 160
_symmetry_space_group_name_Hall 'R 3 -2"'
loop_
_atom_site_label
_atom_site_type_symbol
_atom_site_fract_x
_atom_site_fract_y
_atom_site_fract_z
Zr1 Zr 0.0000 0.0000 0.0000
Mn1 Mn 0.0000 0.0000 0.2414
Mn2 Mn 0.0000 0.0000 0.5001
Ir1 Ir 0.0000 0.0000 0.7592
# N(E_F)   1.38 states/eV/atom
# ΔE_f   0.193 eV/atom

# ZrMnIr4 | the Alexandria database | PBE | relaxed
data_ZrMnIr4
_cell_length_a 7.3633
_cell_length_b 7.3633
_cell_length_c 7.3633
_cell_angle_alpha 90.00
_cell_angle_beta 90.00
_cell_angle_gamma 90.00
_symmetry_space_group_name_H-M 'F -4 3 m'
_symmetry_Int_Tables_number 216
_symmetry_space_group_name_Hall 'F -4 2 3'
loop_
_atom_site_label
_atom_site_type_symbol
_atom_site_fract_x
_atom_site_fract_y
_atom_site_fract_z
Zr1 Zr 0.0000 0.0000 0.0000
Mn1 Mn 0.2500 0.2500 0.2500
Ir1 Ir 0.1246 0.1246 0.6246
# N(E_F)   1.00 states/eV/atom
# ΔE_f   -0.312 eV/atom

# ZrMnIr2 | the Alexandria database | PBE | relaxed
data_ZrMnIr2
_cell_length_a 2.9748
_cell_length_b 4.0009
_cell_length_c 5.5374
_cell_angle_alpha 90.00
_cell_angle_beta 90.00
_cell_angle_gamma 90.00
_symmetry_space_group_name_H-M 'P m m 2'
_symmetry_Int_Tables_number 25
loop_
_symmetry_equiv_pos_as_xyz
'x,y,z'
'-x,-y,z'
'-x,y,z'
'x,-y,z'
loop_
_atom_site_label
_atom_site_type_symbol
_atom_site_fract_x
_atom_site_fract_y
_atom_site_fract_z
Zr1 Zr 0.0000 0.0000 0.0000
Mn1 Mn 0.5000 0.5000 0.6840
Ir1 Ir 0.0000 0.0000 0.5182
Ir2 Ir 0.5000 0.5000 0.2169
# N(E_F)   0.86 states/eV/atom
# ΔE_f   -0.282 eV/atom